{
  "formula": "CsBaNp",
  "functional": "PBE",
  "state": "relaxed",
  "e_tot_ev_per_atom": -3.713,
  "vol_a3_per_atom": 63.29,
  "total_magnetization_mub_per_atom": 2.66,
  "lattice_angstrom": [[2.7058, -5.5848, 1.7637], [-1.2132, -2.4716, 5.8345], [-3.6272, -5.3053, 0.5652]],
  "species": ["Ba", "Cs", "Np"],
  "frac_coords": [[0.0000, 0.0000, 0.0000], [0.5000, 0.5000, 0.5000], [0.7500, 0.7500, 0.7500]]
}

=====

{
  "formula": "ReCl2",
  "functional": "PBE",
  "state": "relaxed",
  "e_tot_ev_per_atom": -3.128,
  "vol_a3_per_atom": 18.24,
  "total_magnetization_mub_per_atom": 0.37,
  "lattice_angstrom": [[0.0000, 3.7964, 3.7964], [3.7964, 0.0000, 3.7964], [3.7964, 3.7964, 0.0000]],
  "species": ["Cl", "Cl", "Cl", "Cl", "Re", "Re"],
  "frac_coords": [[0.6250, 0.6250, 0.1250], [0.6250, 0.1250, 0.6250], [0.1250, 0.6250, 0.6250], [0.6250, 0.6250, 0.6250], [0.0000, 0.0000, 0.0000], [0.2500, 0.2500, 0.2500]]
}

=====

{
  "formula": "HoInHgTe3",
  "functional": "PBE",
  "state": "relaxed",
  "e_tot_ev_per_atom": -3.408,
  "vol_a3_per_atom": 31.68,
  "total_magnetization_mub_per_atom": 0.00,
  "lattice_angstrom": [[8.8508, 0.0000, 0.0000], [0.0000, 4.6384, 0.0000], [0.0000, 0.0000, 18.5217]],
  "species": ["Hg", "Hg", "Hg", "Hg", "Ho", "Ho", "Ho", "Ho", "In", "In", "In", "In", "Te", "Te", "Te", "Te", "Te", "Te", "Te", "Te", "Te", "Te", "Te", "Te"],
  "frac_coords": [[0.5606, 0.2500, 0.1617], [0.0606, 0.2500, 0.3383], [0.9394, 0.7500, 0.6617], [0.4394, 0.7500, 0.8383], [0.2262, 0.2500, 0.0390], [0.7262, 0.2500, 0.4610], [0.2738, 0.7500, 0.5390], [0.7738, 0.7500, 0.9610], [0.9323, 0.7500, 0.1966], [0.4323, 0.7500, 0.3034], [0.5677, 0.2500, 0.6966], [0.0677, 0.2500, 0.8034], [0.8755, 0.2500, 0.0594], [0.4938, 0.7500, 0.0722], [0.2220, 0.2500, 0.2061], [0.7220, 0.2500, 0.2939], [0.9938, 0.7500, 0.4278], [0.3755, 0.2500, 0.4406], [0.6245, 0.7500, 0.5594], [0.0062, 0.2500, 0.5722], [0.2780, 0.7500, 0.7061], [0.7780, 0.7500, 0.7939], [0.5062, 0.2500, 0.9278], [0.1245, 0.7500, 0.9406]]
}

=====

{
  "formula": "ZrTa2Ga2",
  "functional": "PBE",
  "state": "relaxed",
  "e_tot_ev_per_atom": -7.966,
  "vol_a3_per_atom": 17.72,
  "total_magnetization_mub_per_atom": 0.00,
  "lattice_angstrom": [[7.1125, 0.0000, 0.0000], [0.0000, 7.1125, 0.0000], [0.0000, 0.0000, 3.5034]],
  "species": ["Ga", "Ga", "Ga", "Ga", "Ta", "Ta", "Ta", "Ta", "Zr", "Zr"],
  "frac_coords": [[0.6243, 0.1243, 0.0000], [0.1243, 0.3757, 0.0000], [0.8757, 0.6243, 0.0000], [0.3757, 0.8757, 0.0000], [0.3257, 0.1743, 0.5000], [0.8257, 0.3257, 0.5000], [0.1743, 0.6743, 0.5000], [0.6743, 0.8257, 0.5000], [0.0000, 0.0000, 0.0000], [0.5000, 0.5000, 0.0000]]
}

=====

{
  "formula": "SiBiOsAu",
  "functional": "PBE",
  "state": "relaxed",
  "e_tot_ev_per_atom": -5.133,
  "vol_a3_per_atom": 18.85,
  "total_magnetization_mub_per_atom": 0.00,
  "lattice_angstrom": [[0.0000, 3.3531, 3.3531], [3.3531, 0.0000, 3.3531], [3.3531, 3.3531, 0.0000]],
  "species": ["Au", "Bi", "Os", "Si"],
  "frac_coords": [[0.7500, 0.7500, 0.7500], [0.5000, 0.5000, 0.5000], [0.0000, 0.0000, 0.0000], [0.2500, 0.2500, 0.2500]]
}

=====

{
  "formula": "Er4TmLu2Ni2Te2",
  "functional": "PBE",
  "state": "relaxed",
  "e_tot_ev_per_atom": -5.145,
  "vol_a3_per_atom": 25.18,
  "total_magnetization_mub_per_atom": 0.00,
  "lattice_angstrom": [[6.6346, 0.5086, 6.3798], [-3.8721, 7.8451, -2.9052], [0.7143, -7.6875, 5.0369]],
  "species": ["Er", "Er", "Er", "Er", "Lu", "Lu", "Ni", "Ni", "Te", "Te", "Tm"],
  "frac_coords": [[0.7162, 0.5819, 0.1343], [0.6917, 0.3771, 0.3146], [0.0625, 0.3771, 0.6854], [0.4476, 0.5819, 0.8657], [0.0823, 0.7286, 0.3537], [0.3749, 0.7286, 0.6463], [0.3058, 0.0701, 0.2357], [0.8344, 0.0701, 0.7643], [0.3382, 0.3382, 0.0000], [0.7339, 0.2339, 0.5000], [0.0008, 0.0008, 0.0000]]
}

=====

{
  "formula": "Na4GaCu2Si",
  "functional": "PBE",
  "state": "relaxed",
  "e_tot_ev_per_atom": -2.470,
  "vol_a3_per_atom": 18.07,
  "lattice_angstrom": [[4.6753, 0.0000, 0.0000], [0.0000, 4.6753, 0.0000], [0.0000, 0.0000, 6.6140]],
  "species": ["Cu", "Cu", "Ga", "Na", "Na", "Na", "Na", "Si"],
  "frac_coords": [[0.0000, 0.5000, 0.2647], [0.5000, 0.0000, 0.7353], [0.0000, 0.0000, 0.0000], [0.5000, 0.5000, 0.0000], [0.5000, 0.0000, 0.2530], [0.0000, 0.0000, 0.5000], [0.0000, 0.5000, 0.7470], [0.5000, 0.5000, 0.5000]]
}

=====

{
  "formula": "HoTmSnC",
  "functional": "PBE",
  "state": "relaxed",
  "e_tot_ev_per_atom": -6.145,
  "vol_a3_per_atom": 21.79,
  "total_magnetization_mub_per_atom": 0.01,
  "lattice_angstrom": [[3.5828, 0.0000, 0.0000], [-1.7914, 3.1028, 0.0000], [0.0000, 0.0000, 15.6831]],
  "species": ["C", "C", "Ho", "Ho", "Sn", "Sn", "Tm", "Tm"],
  "frac_coords": [[0.0000, 0.0000, 0.2510], [0.0000, 0.0000, 0.7490], [0.3333, 0.6667, 0.1658], [0.3333, 0.6667, 0.8342], [0.6667, 0.3333, 0.0000], [0.3333, 0.6667, 0.5000], [0.6667, 0.3333, 0.3343], [0.6667, 0.3333, 0.6657]]
}

=====

{
  "formula": "BaLuZn",
  "functional": "PBE",
  "state": "relaxed",
  "e_tot_ev_per_atom": -2.094,
  "vol_a3_per_atom": 32.81,
  "total_magnetization_mub_per_atom": 0.00,
  "lattice_angstrom": [[0.0000, 3.6648, 3.6648], [3.6648, 0.0000, 3.6648], [3.6648, 3.6648, 0.0000]],
  "species": ["Ba", "Lu", "Zn"],
  "frac_coords": [[0.2500, 0.2500, 0.2500], [0.0000, 0.0000, 0.0000], [0.7500, 0.7500, 0.7500]]
}

=====

{
  "formula": "Sc4Mo2C3S3",
  "functional": "PBE",
  "state": "relaxed",
  "e_tot_ev_per_atom": -8.316,
  "vol_a3_per_atom": 14.11,
  "total_magnetization_mub_per_atom": 0.00,
  "lattice_angstrom": [[-4.9155, 1.3512, 2.6838], [-2.4986, -3.8453, 3.4873], [8.5419, 5.0646, 7.0601]],
  "species": ["C", "C", "C", "C", "C", "C", "Mo", "Mo", "Mo", "Mo", "S", "S", "S", "S", "S", "S", "Sc", "Sc", "Sc", "Sc", "Sc", "Sc", "Sc", "Sc"],
  "frac_coords": [[0.6596, 0.1808, 0.0000], [0.0000, 0.5000, 0.0000], [0.3404, 0.8192, 0.0000], [0.1808, 0.6596, 0.5000], [0.5000, 0.0000, 0.5000], [0.8192, 0.3404, 0.5000], [0.3466, 0.5272, 0.0850], [0.4728, 0.6534, 0.4150], [0.5272, 0.3466, 0.5850], [0.6534, 0.4728, 0.9150], [0.4161, 0.2678, 0.2490], [0.1085, 0.8915, 0.2500], [0.7322, 0.5839, 0.2510], [0.2678, 0.4161, 0.7490], [0.8915, 0.1085, 0.7500], [0.5839, 0.7322, 0.7510], [0.0452, 0.1926, 0.1062], [0.7021, 0.8775, 0.1064], [0.1225, 0.2979, 0.3936], [0.8074, 0.9548, 0.3938], [0.1926, 0.0452, 0.6062], [0.8775, 0.7021, 0.6064], [0.2979, 0.1225, 0.8936], [0.9548, 0.8074, 0.8938]]
}

=====

{
  "formula": "CdSiPO",
  "functional": "PBE",
  "state": "relaxed",
  "e_tot_ev_per_atom": -4.287,
  "vol_a3_per_atom": 16.17,
  "lattice_angstrom": [[3.7814, 0.0000, 0.0000], [0.0000, 3.7814, 0.0000], [0.0000, 0.0000, 9.0489]],
  "species": ["Cd", "Cd", "O", "O", "P", "P", "Si", "Si"],
  "frac_coords": [[0.7500, 0.2500, 0.5000], [0.2500, 0.7500, 0.5000], [0.7500, 0.2500, 0.0000], [0.2500, 0.7500, 0.0000], [0.7500, 0.7500, 0.2945], [0.2500, 0.2500, 0.7055], [0.2500, 0.2500, 0.0980], [0.7500, 0.7500, 0.9020]]
}

=====

{
  "formula": "Cs2ReHgBr6",
  "functional": "PBE",
  "state": "relaxed",
  "e_tot_ev_per_atom": -3.323,
  "vol_a3_per_atom": 38.68,
  "total_magnetization_mub_per_atom": 0.30,
  "lattice_angstrom": [[0.0000, 5.7831, 5.7831], [5.7831, 0.0000, 5.7831], [5.7831, 5.7831, 0.0000]],
  "species": ["Br", "Br", "Br", "Br", "Br", "Br", "Cs", "Cs", "Hg", "Re"],
  "frac_coords": [[0.7806, 0.2194, 0.2194], [0.2194, 0.7806, 0.2194], [0.7806, 0.7806, 0.2194], [0.2194, 0.2194, 0.7806], [0.7806, 0.2194, 0.7806], [0.2194, 0.7806, 0.7806], [0.2500, 0.2500, 0.2500], [0.7500, 0.7500, 0.7500], [0.5000, 0.5000, 0.5000], [0.0000, 0.0000, 0.0000]]
}